Density functional theory data (PBE) for a relaxed structure of Er2H2BrCl3.

ρ	5.16	g cm⁻³
electronic total energy	-0.33693	Ry/atom

```
Er2H2BrCl3
1.0
3.718 0.000 0.000
-1.859 3.220 0.000
0.000 0.000 14.050
Br Cl Er H
1 3 2 2
Direct
0.000 0.000 0.116
0.000 0.000 0.378
0.667 0.333 0.626
0.667 0.333 0.873
0.333 0.667 0.254
0.333 0.667 0.750
0.667 0.333 0.253
0.000 0.000 0.750
```